Below is an optimized crystal structure of BaZr2As, with properties calculated at the PBE-GGA level.

a = 3.5887 Å, b = 3.5887 Å, c = 8.0612 Å
α = 90.00°, β = 90.00°, γ = 90.00°
Fractional positions:
1 Ba 0.5000 0.5000 0.7500
2 As 0.5000 0.5000 0.2500
3 Zr 0.0000 0.0000 0.0772
4 Zr 0.0000 0.0000 0.4228

Calculated values
The calculation puts the formation energy at -142 meV per atom. The calculation puts the density of states at the Fermi level at 5.0 states/eV per cell. Its space group is No. 123. As for the crystal system: tetragonal. For the total energy, the calculation gives -24.237 eV/cell. The magnetization comes out at 0.00 Bohr magnetons per cell. The theoretical density comes out at 6.31 g cm⁻³.

Below is an optimized crystal structure of BaZr2As, with properties calculated at the PBE-GGA level.

a = 5.7003 Å, b = 5.7003 Å, c = 5.7003 Å
α = 132.39°, β = 132.39°, γ = 69.62°
Fractional positions:
1 Zr 0.0000 0.0000 0.0000
2 Ba 0.7500 0.2500 0.5000
3 Zr 0.2500 0.7500 0.5000
4 As 0.5000 0.5000 0.0000

Calculated values
The calculation puts the formation energy at 212 meV per atom. The calculation puts the density of states at the Fermi level at 4.8 states/eV per cell. Its space group is No. 119. As for the crystal system: tetragonal. For the total energy, the calculation gives -22.820 eV/cell. The magnetization comes out at 0.00 Bohr magnetons per cell. The theoretical density comes out at 6.61 g cm⁻³.

Below is an optimized crystal structure of BaZr2As, with properties calculated at the PBE-GGA level.

a = 3.4060 Å, b = 3.4060 Å, c = 9.6500 Å
α = 90.00°, β = 90.00°, γ = 104.31°
Fractional positions:
1 Zr 0.0000 0.0000 0.0744
2 Zr 0.0000 0.0000 0.4256
3 Ba 0.5000 0.5000 0.7500
4 As 0.5000 0.5000 0.2500

Calculated values
The calculation puts the formation energy at -80 meV per atom. The calculation puts the density of states at the Fermi level at 4.8 states/eV per cell. Its space group is No. 65. As for the crystal system: orthorhombic. For the total energy, the calculation gives -23.991 eV/cell. The magnetization comes out at 0.00 Bohr magnetons per cell. The theoretical density comes out at 6.04 g cm⁻³.

Below is an optimized crystal structure of BaZr2As, with properties calculated at the PBE-GGA level.

a = 5.7182 Å, b = 5.7182 Å, c = 5.7182 Å
α = 132.95°, β = 132.95°, γ = 68.73°
Fractional positions:
1 As 0.2500 0.7500 0.5000
2 Ba 0.7500 0.2500 0.5000
3 Zr 0.0000 0.0000 0.0000
4 Zr 0.5000 0.5000 0.0000

Calculated values
The calculation puts the formation energy at 165 meV per atom. The calculation puts the density of states at the Fermi level at 2.7 states/eV per cell. Its space group is No. 139. As for the crystal system: tetragonal. For the total energy, the calculation gives -23.008 eV/cell. The magnetization comes out at 0.00 Bohr magnetons per cell. The theoretical density comes out at 6.66 g cm⁻³.